First-principles (PBE-GGA) data for crystalline LiHo2Co at its relaxed geometry, as listed in Alexandria via LeMat-Bulk.

a b c (Å): 3.6997 3.6997 29.1963
angles (deg): 90.00 90.00 120.00
Space group R-3m (No. 166, hexagonal axes)
Unique sites:
Li 0.0000 0.0000 0.0000
Ho 0.0000 0.0000 0.1153
Co 0.0000 0.0000 0.5000

The value obtained for the uncorrected energy is -53.52 eV per cell. The value obtained for the relative energy among the computed polymorphs is 175 meV per atom.